Record 1
Here is a relaxed structure of Rb2CuPtI6 from Alexandria via LeMat-Bulk. Energies are from PBE.

Properties
Space-group type: No. 166
Uncorrected formation energy: -6.16 eV/f.u.
Total magnetization: 0.00 μB/f.u.
Calculated density: 5302 kg/m³
Excess energy over the best structure of this formula in the dataset: 7 meV/atom

Cell: 7.9557 7.9557 14.3651 Å, 73.92 73.92 60.00°
Positions (direct):
1 Cu 0.4167 0.4167 0.7498
2 I 0.6202 0.6202 0.6223
3 I 0.1372 0.6202 0.6223
4 I 0.2053 0.7098 0.8795
5 I 0.2053 0.2053 0.8795
6 I 0.3798 0.8628 0.3777
7 Rb 0.2999 0.2999 0.1003
8 I 0.2902 0.7947 0.1205
9 Rb 0.1171 0.1171 0.6486
10 Rb 0.8829 0.8829 0.3514
11 I 0.3798 0.3798 0.3777
12 I 0.7947 0.2902 0.1205
13 Pt 0.0000 0.0000 0.0000
14 Pt 0.5000 0.5000 0.5000
15 I 0.8628 0.3798 0.3777
16 Cu 0.5833 0.5833 0.2502
17 I 0.6202 0.1372 0.6223
18 I 0.7098 0.2053 0.8795
19 I 0.7947 0.7947 0.1205
20 Rb 0.7001 0.7001 0.8997

---

Record 2
Here is a relaxed structure of Sr6CuPt2I3 from Alexandria via LeMat-Bulk. Energies are from PBE.

Properties
Space-group type: No. 12
Uncorrected formation energy: -11.38 eV/f.u.
Total magnetization: 0.00 μB/f.u.
Calculated density: 5246 kg/m³

Cell: 7.7338 7.7338 8.7014 Å, 98.52 98.52 120.00°
Positions (direct):
1 Sr 0.0662 0.4103 0.1985
2 I 0.8349 0.1651 0.5000
3 Sr 0.4103 0.0662 0.1985
4 Cu 0.0000 0.0000 0.0000
5 I 0.5000 0.5000 0.5000
6 Sr 0.7218 0.7218 0.1977
7 Pt 0.6668 0.3332 0.0000
8 Sr 0.2782 0.2782 0.8023
9 I 0.1651 0.8349 0.5000
10 Sr 0.5897 0.9338 0.8015
11 Sr 0.9338 0.5897 0.8015
12 Pt 0.3332 0.6668 0.0000

---

Record 3
Here is a relaxed structure of Sr2CuPtI from Alexandria via LeMat-Bulk. Energies are from PBE.

Properties
Space-group type: No. 123
Uncorrected formation energy: -2.50 eV/f.u.
Total magnetization: 0.00 μB/f.u.
Calculated density: 5795 kg/m³

Cell: 5.8739 4.6570 5.8739 Å, 90.00 90.00 90.00°
Positions (direct):
1 Sr 0.0000 0.0000 0.5000
2 Cu 0.0000 0.0000 0.0000
3 I 0.5000 0.5000 0.5000
4 Pt 0.0000 0.5000 0.0000
5 Sr 0.5000 0.0000 0.0000

---

Record 4
Here is a relaxed structure of Cu2TcPtI from Alexandria via LeMat-Bulk. Energies are from PBE.

Properties
Space-group type: No. 123
Uncorrected formation energy: 6.60 eV/f.u.
Total magnetization: 4.18 μB/f.u.
Calculated density: 7654 kg/m³

Cell: 4.7220 5.3234 4.7220 Å, 90.00 90.00 90.00°
Site moments in Bohr magnetons follow the coordinates.
Positions (direct):
1 Cu 0.5000 0.0000 0.0000  0.01
2 Tc 0.5000 0.5000 0.5000  3.51
3 I 0.0000 0.5000 0.0000  0.04
4 Pt 0.0000 0.0000 0.0000  0.09
5 Cu 0.0000 0.0000 0.5000  0.03

---

Record 5
Here is a relaxed structure of Pu2CuI8 from Alexandria via LeMat-Bulk. Energies are from PBE.

Properties
Space-group type: No. 12
Uncorrected formation energy: -7.92 eV/f.u.
Total magnetization: 10.12 μB/f.u.
Calculated density: 4840 kg/m³

Cell: 10.8901 8.0597 8.0597 Å, 52.53 75.01 75.01°
Site moments in Bohr magnetons follow the coordinates.
Positions (direct):
1 I 0.6754 0.8965 0.8965  -0.07
2 I 0.4979 0.3417 0.3417  -0.06
3 I 0.3246 0.1035 0.1035  -0.07
4 I 0.1565 0.6465 0.1472  -0.04
5 I 0.8435 0.3535 0.8528  -0.04
6 I 0.1565 0.1472 0.6465  -0.04
7 I 0.5021 0.6583 0.6583  -0.06
8 I 0.8435 0.8528 0.3535  -0.04
9 Pu 0.3957 0.8800 0.8800  5.21
10 Pu 0.6043 0.1200 0.1200  5.21
11 Cu 0.0000 0.0000 0.0000  0.01

---

Record 6
Here is a relaxed structure of PuCuI4 from Alexandria via LeMat-Bulk. Energies are from PBE.

Properties
Space-group type: No. 12
Uncorrected formation energy: -4.06 eV/f.u.
Total magnetization: 4.98 μB/f.u.
Calculated density: 5443 kg/m³

Cell: 4.2181 8.8477 7.6195 Å, 114.99 90.00 103.79°
Site moments in Bohr magnetons follow the coordinates.
Positions (direct):
1 I 0.5982 0.1963 0.9528  0.06
2 Cu 0.0000 0.0000 0.0000  0.09
3 I 0.4018 0.8037 0.0472  0.06
4 I 0.8735 0.7471 0.5249  0.06
5 Pu 0.5000 0.0000 0.5000  -5.24
6 I 0.1265 0.2529 0.4751  0.06